# 1
Compound: CrMo2Br
Source: Alexandria
Functional: GGA-PBE
Structure: relaxed

Cell and atoms, written as POSCAR:
```
CrMo2Br
1.0
-2.111 2.111 3.681
2.111 -2.111 3.681
2.111 2.111 -3.681
Cr Mo Br
1 2 1
direct
0.000 0.000 0.000
0.250 0.750 0.500
0.500 0.500 0.000
0.750 0.250 0.500
```

M_tot = 2.734 Bohr magnetons per cell
Formation energy from raw total energies = 1.038 eV per atom
SG = I-4m2, No. 119
Final energy = -7.202 eV/atom

***

# 2
Compound: TbNd2Sm5
Source: Alexandria
Functional: GGA-PBE
Structure: relaxed

Cell and atoms, written as POSCAR:
```
TbNd2Sm5
1.0
7.272 0.000 0.000
0.000 14.547 0.000
0.000 0.000 5.126
Tb Nd Sm
2 4 10
direct
0.000 0.000 0.000
0.500 0.500 0.000
0.249 0.124 0.500
0.251 0.624 0.500
0.749 0.376 0.500
0.751 0.876 0.500
0.000 0.500 0.000
0.001 0.751 0.000
0.250 0.375 0.500
0.250 0.875 0.500
0.499 0.251 0.000
0.500 0.000 0.000
0.501 0.749 0.000
0.750 0.125 0.500
0.750 0.625 0.500
0.999 0.249 0.000
```

M_tot = 0.000 Bohr magnetons per cell
SG = Pbam, No. 55
Final energy = -4.706 eV/atom

***

# 3
Compound: Al2RuCl
Source: Alexandria
Functional: GGA-PBE
Structure: relaxed

Cell and atoms, written as POSCAR:
```
Al2RuCl
1.0
4.888 -1.474 0.000
4.888 1.474 0.000
-0.645 0.000 4.483
Al Ru Cl
2 1 1
direct
0.212 0.212 0.229
0.788 0.788 0.771
0.500 0.500 0.000
0.000 0.000 0.500
```

M_tot = 0.047 Bohr magnetons per cell
Formation energy from raw total energies = 0.149 eV per atom
SG = C2/m, No. 12
Final energy = -4.503 eV/atom

***

# 4
Compound: Ca2TiGe2
Source: Alexandria
Functional: GGA-PBE
Structure: relaxed

Cell and atoms, written as POSCAR:
```
Ca2TiGe2
1.0
7.060 0.000 0.000
0.000 7.060 0.000
0.000 0.000 4.633
Ca Ti Ge
4 2 4
direct
0.173 0.327 0.000
0.327 0.827 0.000
0.673 0.173 0.000
0.827 0.673 0.000
0.000 0.000 0.500
0.500 0.500 0.500
0.133 0.633 0.500
0.367 0.133 0.500
0.633 0.867 0.500
0.867 0.367 0.500
```

M_tot = 0.000 Bohr magnetons per cell
SG = P4/mbm, No. 127
Final energy = -4.646 eV/atom